# LaTb3Sm5, relaxed, DFT PBE-GGA
data_LaTb3Sm5
_cell_length_a 16.461
_cell_length_b 6.796
_cell_length_c 11.623
_cell_angle_alpha 90.00
_cell_angle_beta 109.37
_cell_angle_gamma 90.00
_symmetry_space_group_name_H-M 'C 1 2/c 1'
_symmetry_Int_Tables_number 15
loop_
_symmetry_equiv_pos_as_xyz
'x,y,z'
'-x,-y,-z'
'-x,y,-z+1/2'
'x,-y,z+1/2'
'x+1/2,y+1/2,z'
'-x+1/2,-y+1/2,-z'
'-x+1/2,y+1/2,-z+1/2'
'x+1/2,-y+1/2,z+1/2'
loop_
_atom_site_label
_atom_site_type_symbol
_atom_site_fract_x
_atom_site_fract_y
_atom_site_fract_z
_atom_site_occupancy
La1 La 0.000 0.239 0.250 1
Tb1 Tb 0.000 0.000 0.000 1
Tb2 Tb 0.241 0.395 0.368 1
Sm1 Sm 0.000 0.315 0.750 1
Sm2 Sm 0.110 0.498 0.050 1
Sm3 Sm 0.174 0.101 0.857 1
# calculated formation energy	0.170	eV per atom
# VASP energy	-4.543	eV/atom
# size of the total moment	0.000	Bohr magnetons per cell
# distance to the lowest polymorph of the same formula	0.00	eV per formula unit

# LaTb12Sm3, relaxed, DFT PBE-GGA
data_LaTb12Sm3
_cell_length_a 5.072
_cell_length_b 5.072
_cell_length_c 20.286
_cell_angle_alpha 90.00
_cell_angle_beta 90.00
_cell_angle_gamma 90.00
_symmetry_space_group_name_H-M 'P 4/m m m'
_symmetry_Int_Tables_number 123
_symmetry_space_group_name_Hall '-P 4 2'
loop_
_atom_site_label
_atom_site_type_symbol
_atom_site_fract_x
_atom_site_fract_y
_atom_site_fract_z
_atom_site_occupancy
La1 La 0.000 0.000 0.000 1
Tb1 Tb 0.000 0.500 0.127 1
Tb2 Tb 0.000 0.500 0.375 1
Tb3 Tb 0.500 0.500 0.000 1
Tb4 Tb 0.500 0.500 0.251 1
Tb5 Tb 0.500 0.500 0.500 1
Sm1 Sm 0.000 0.000 0.250 1
Sm2 Sm 0.000 0.000 0.500 1
# calculated formation energy	0.019	eV per atom
# VASP energy	-4.646	eV/atom
# size of the total moment	0.000	Bohr magnetons per cell

# La8TbSm3, relaxed, DFT PBE-GGA
data_La8TbSm3
_cell_length_a 16.012
_cell_length_b 8.994
_cell_length_c 6.483
_cell_angle_alpha 90.00
_cell_angle_beta 113.46
_cell_angle_gamma 90.00
_symmetry_space_group_name_H-M 'C 1 2 1'
_symmetry_Int_Tables_number 5
loop_
_symmetry_equiv_pos_as_xyz
'x,y,z'
'-x,y,-z'
'x+1/2,y+1/2,z'
'-x+1/2,y+1/2,-z'
loop_
_atom_site_label
_atom_site_type_symbol
_atom_site_fract_x
_atom_site_fract_y
_atom_site_fract_z
_atom_site_occupancy
La1 La 0.070 0.000 0.312 1
La2 La 0.126 0.630 0.636 1
La3 La 0.172 0.998 0.909 1
La4 La 0.248 0.749 0.353 1
Tb1 Tb 0.000 0.685 0.000 1
Sm1 Sm 0.000 0.302 0.500 1
Sm2 Sm 0.123 0.358 0.108 1
# calculated formation energy	0.099	eV per atom
# VASP energy	-4.752	eV/atom
# size of the total moment	0.000	Bohr magnetons per cell

# La7TbSm3, relaxed, DFT PBE-GGA
data_La7TbSm3
_cell_length_a 13.002
_cell_length_b 11.563
_cell_length_c 6.060
_cell_angle_alpha 90.00
_cell_angle_beta 117.69
_cell_angle_gamma 90.00
_symmetry_space_group_name_H-M 'C 1 2/m 1'
_symmetry_Int_Tables_number 12
loop_
_symmetry_equiv_pos_as_xyz
'x,y,z'
'-x,-y,-z'
'-x,y,-z'
'x,-y,z'
'x+1/2,y+1/2,z'
'-x+1/2,-y+1/2,-z'
'-x+1/2,y+1/2,-z'
'x+1/2,-y+1/2,z'
loop_
_atom_site_label
_atom_site_type_symbol
_atom_site_fract_x
_atom_site_fract_y
_atom_site_fract_z
_atom_site_occupancy
La1 La 0.000 0.000 0.000 1
La2 La 0.196 0.292 0.696 1
La3 La 0.211 0.500 0.212 1
Tb1 Tb 0.000 0.000 0.500 1
Sm1 Sm 0.000 0.294 0.000 1
Sm2 Sm 0.000 0.500 0.500 1
# calculated formation energy	0.206	eV per atom
# VASP energy	-4.638	eV/atom
# size of the total moment	0.000	Bohr magnetons per cell

# La5Tb2Sm12, relaxed, DFT PBE-GGA
data_La5Tb2Sm12
_cell_length_a 18.182
_cell_length_b 11.882
_cell_length_c 6.272
_cell_angle_alpha 90.00
_cell_angle_beta 102.97
_cell_angle_gamma 90.00
_symmetry_space_group_name_H-M 'C 1 2/m 1'
_symmetry_Int_Tables_number 12
loop_
_symmetry_equiv_pos_as_xyz
'x,y,z'
'-x,-y,-z'
'-x,y,-z'
'x,-y,z'
'x+1/2,y+1/2,z'
'-x+1/2,-y+1/2,-z'
'-x+1/2,y+1/2,-z'
'x+1/2,-y+1/2,z'
loop_
_atom_site_label
_atom_site_type_symbol
_atom_site_fract_x
_atom_site_fract_y
_atom_site_fract_z
_atom_site_occupancy
La1 La 0.000 0.000 0.000 1
La2 La 0.174 0.500 0.353 1
La3 La 0.214 0.000 0.052 1
Tb1 Tb 0.000 0.226 0.500 1
Sm1 Sm 0.051 0.500 0.775 1
Sm2 Sm 0.102 0.256 0.117 1
Sm3 Sm 0.122 0.000 0.495 1
Sm4 Sm 0.198 0.253 0.700 1
# calculated formation energy	0.100	eV per atom
# VASP energy	-4.664	eV/atom
# size of the total moment	0.000	Bohr magnetons per cell
# distance to the lowest polymorph of the same formula	0.00	eV per formula unit

# LaTbSm2, relaxed, DFT PBE-GGA
data_LaTbSm2
_cell_length_a 4.294
_cell_length_b 4.294
_cell_length_c 7.434
_cell_angle_alpha 90.00
_cell_angle_beta 90.00
_cell_angle_gamma 90.00
_symmetry_space_group_name_H-M 'P 4/m m m'
_symmetry_Int_Tables_number 123
_symmetry_space_group_name_Hall '-P 4 2'
loop_
_atom_site_label
_atom_site_type_symbol
_atom_site_fract_x
_atom_site_fract_y
_atom_site_fract_z
_atom_site_occupancy
La1 La 0.000 0.000 0.000 1
Tb1 Tb 0.000 0.000 0.500 1
Sm1 Sm 0.500 0.500 0.258 1
# calculated formation energy	0.119	eV per atom
# VASP energy	-4.630	eV/atom
# size of the total moment	0.000	Bohr magnetons per cell
# distance to the lowest polymorph of the same formula	0.40	eV per formula unit

# LaTb2Sm12, relaxed, DFT PBE-GGA
data_LaTb2Sm12
_cell_length_a 6.505
_cell_length_b 6.505
_cell_length_c 25.525
_cell_angle_alpha 90.00
_cell_angle_beta 90.00
_cell_angle_gamma 90.00
_symmetry_space_group_name_H-M 'P 4/n b m'
_symmetry_Int_Tables_number 125
loop_
_symmetry_equiv_pos_as_xyz
'x,y,z'
'-x,-y,-z'
'-y+1/2,x,z'
'y+1/2,-x,-z'
'-x+1/2,-y+1/2,z'
'x+1/2,y+1/2,-z'
'y,-x+1/2,z'
'-y,x+1/2,-z'
'x,-y+1/2,-z'
'-x,y+1/2,z'
'-y+1/2,-x+1/2,-z'
'y+1/2,x+1/2,z'
'-x+1/2,y,-z'
'x+1/2,-y,z'
'y,x,-z'
'-y,-x,z'
loop_
_atom_site_label
_atom_site_type_symbol
_atom_site_fract_x
_atom_site_fract_y
_atom_site_fract_z
_atom_site_occupancy
La1 La 0.250 0.750 0.000 1
Tb1 Tb 0.250 0.750 0.275 1
Sm1 Sm 0.067 0.567 0.118 1
Sm2 Sm 0.082 0.582 0.438 1
Sm3 Sm 0.250 0.250 0.218 1
Sm4 Sm 0.250 0.250 0.339 1
# calculated formation energy	0.299	eV per atom
# VASP energy	-4.422	eV/atom
# size of the total moment	0.001	Bohr magnetons per cell

# La2Tb12Sm5, relaxed, DFT PBE-GGA
data_La2Tb12Sm5
_cell_length_a 6.867
_cell_length_b 6.871
_cell_length_c 15.122
_cell_angle_alpha 79.87
_cell_angle_beta 87.36
_cell_angle_gamma 64.64
_symmetry_space_group_name_H-M 'P -1'
_symmetry_Int_Tables_number 2
loop_
_symmetry_equiv_pos_as_xyz
'x,y,z'
'-x,-y,-z'
loop_
_atom_site_label
_atom_site_type_symbol
_atom_site_fract_x
_atom_site_fract_y
_atom_site_fract_z
_atom_site_occupancy
La1 La 0.011 0.238 0.033 1
Tb1 Tb 0.017 0.616 0.387 1
Tb2 Tb 0.067 0.110 0.419 1
Tb3 Tb 0.235 0.067 0.824 1
Tb4 Tb 0.250 0.584 0.754 1
Tb5 Tb 0.260 0.415 0.188 1
Tb6 Tb 0.281 0.877 0.246 1
Sm1 Sm 0.444 0.925 0.614 1
Sm2 Sm 0.496 0.735 0.035 1
Sm3 Sm 0.500 0.500 0.500 1
# calculated formation energy	0.097	eV per atom
# VASP energy	-4.588	eV/atom
# size of the total moment	0.000	Bohr magnetons per cell
# distance to the lowest polymorph of the same formula	0.00	eV per formula unit

Question: Look up the VASP energy of the seventh one.
Answer: -4.422 eV/atom

Question: Among the records above, which one has the lowest calculated formation energy?
Answer: LaTb12Sm3

Question: The highest calculated formation energy belongs to which entry?
Answer: LaTb2Sm12

Question: Which of these has the highest size of the total moment?
Answer: LaTb2Sm12